Below is crystalline LiAc2Cu at its relaxed geometry, with properties calculated at the PBE-GGA level.

Calculated values
ΔH_f (0 K) ... -0.0115 eV/atom
Magnetization ... 0.00 μB/f.u.
D(E_F) ... 3.0 states/eV per cell

a b c (Å): 3.9010 3.9010 7.9487
angles (deg): 90.00 90.00 90.00
Fractional coordinates of all 4 atoms:
Li  0.0000  0.0000  0.0000
Ac  0.5000  0.5000  0.2736
Ac  0.5000  0.5000  0.7264
Cu  0.0000  0.0000  0.5000

***

Below is crystalline LiAc2Cu3 at its relaxed geometry, with properties calculated at the PBE-GGA level.

Calculated values
ΔH_f (0 K) ... -0.1083 eV/atom
Magnetization ... 0.00 μB/f.u.
D(E_F) ... 8.2 states/eV per cell

a b c (Å): 8.9436 8.7516 6.0679
angles (deg): 71.66 68.25 40.09
Fractional coordinates of all 12 atoms:
Li  0.1673  0.1673  0.8327
Li  0.8327  0.8327  0.1673
Ac  0.2500  0.2500  0.2500
Ac  0.2531  0.7469  0.7469
Ac  0.7469  0.2531  0.2531
Ac  0.7500  0.7500  0.7500
Cu  0.1692  0.6655  0.3345
Cu  0.3354  0.3354  0.6646
Cu  0.3345  0.8308  0.1692
Cu  0.6655  0.1692  0.8308
Cu  0.6646  0.6646  0.3354
Cu  0.8308  0.3345  0.6655

***

Below is crystalline LiAc2Cu9 at its relaxed geometry, with properties calculated at the PBE-GGA level.

Calculated values
ΔH_f (0 K) ... 0.0063 eV/atom
Magnetization ... 0.00 μB/f.u.
D(E_F) ... 5.4 states/eV per cell

a b c (Å): 9.1390 9.1390 9.1390
angles (deg): 33.46 33.46 33.46
Fractional coordinates of all 12 atoms:
Li  0.0000  0.0000  0.0000
Ac  0.1329  0.1329  0.1329
Ac  0.8671  0.8671  0.8671
Cu  0.0785  0.5748  0.5748
Cu  0.3324  0.3324  0.3324
Cu  0.4252  0.4252  0.9215
Cu  0.4252  0.9215  0.4252
Cu  0.5000  0.5000  0.5000
Cu  0.5748  0.0785  0.5748
Cu  0.5748  0.5748  0.0785
Cu  0.6676  0.6676  0.6676
Cu  0.9215  0.4252  0.4252

***

Below is crystalline Li6AcCu2 at its relaxed geometry, with properties calculated at the PBE-GGA level.

Calculated values
ΔH_f (0 K) ... -0.0480 eV/atom
Magnetization ... 0.00 μB/f.u.
D(E_F) ... 4.8 states/eV per cell

a b c (Å): 4.1310 4.1310 10.7148
angles (deg): 90.00 90.00 90.00
Fractional coordinates of all 9 atoms:
Li  0.0000  0.0000  0.0000
Li  0.0000  0.5000  0.2155
Li  0.0000  0.5000  0.7845
Li  0.5000  0.0000  0.2155
Li  0.5000  0.0000  0.7845
Li  0.5000  0.5000  0.0000
Ac  0.0000  0.0000  0.5000
Cu  0.5000  0.5000  0.3795
Cu  0.5000  0.5000  0.6205

***

Below is crystalline Li3AcCu2 at its relaxed geometry, with properties calculated at the PBE-GGA level.

Calculated values
ΔH_f (0 K) ... -0.0434 eV/atom
Magnetization ... 0.00 μB/f.u.
D(E_F) ... 6.2 states/eV per cell

a b c (Å): 8.0382 8.0382 8.2977
angles (deg): 114.90 114.90 30.23
Fractional coordinates of all 12 atoms:
Li  0.0512  0.0512  0.3860
Li  0.3132  0.3132  0.5384
Li  0.4134  0.4134  0.3346
Li  0.5866  0.5866  0.6654
Li  0.6868  0.6868  0.4616
Li  0.9488  0.9488  0.6140
Ac  0.1456  0.1456  0.0522
Ac  0.8544  0.8544  0.9478
Cu  0.1975  0.1975  0.7059
Cu  0.4780  0.4780  0.8363
Cu  0.5220  0.5220  0.1637
Cu  0.8025  0.8025  0.2941

***

Below is crystalline LiAcCu2 at its relaxed geometry, with properties calculated at the PBE-GGA level.

Calculated values
ΔH_f (0 K) ... 0.0402 eV/atom
Magnetization ... 0.00 μB/f.u.
D(E_F) ... 10.9 states/eV per cell
E above lowest polymorph ... 150 meV per atom

a b c (Å): 7.1169 7.1169 7.1169
angles (deg): 90.00 90.00 90.00
Fractional coordinates of all 16 atoms:
Li  0.0000  0.0000  0.0000
Li  0.0000  0.5000  0.5000
Li  0.5000  0.0000  0.5000
Li  0.5000  0.5000  0.0000
Ac  0.0000  0.0000  0.5000
Ac  0.0000  0.5000  0.0000
Ac  0.5000  0.0000  0.0000
Ac  0.5000  0.5000  0.5000
Cu  0.2500  0.2500  0.2500
Cu  0.2500  0.2500  0.7500
Cu  0.2500  0.7500  0.2500
Cu  0.2500  0.7500  0.7500
Cu  0.7500  0.2500  0.2500
Cu  0.7500  0.2500  0.7500
Cu  0.7500  0.7500  0.2500
Cu  0.7500  0.7500  0.7500

***

Below is crystalline LiAcCu3 at its relaxed geometry, with properties calculated at the PBE-GGA level.

Calculated values
ΔH_f (0 K) ... -0.0431 eV/atom
Magnetization ... 0.00 μB/f.u.
D(E_F) ... 5.0 states/eV per cell

a b c (Å): 12.3700 12.3700 4.2252
angles (deg): 90.00 90.00 161.31
Fractional coordinates of all 10 atoms:
Li  0.2095  0.7905  0.7500
Li  0.7905  0.2095  0.2500
Ac  0.0805  0.9195  0.2500
Ac  0.9195  0.0805  0.7500
Cu  0.3167  0.6833  0.7500
Cu  0.3666  0.6334  0.2500
Cu  0.4720  0.5280  0.2500
Cu  0.5280  0.4720  0.7500
Cu  0.6334  0.3666  0.7500
Cu  0.6833  0.3167  0.2500

***

Below is crystalline LiAcCu2 at its relaxed geometry, with properties calculated at the PBE-GGA level.

Calculated values
ΔH_f (0 K) ... 0.0423 eV/atom
Magnetization ... 0.00 μB/f.u.
D(E_F) ... 2.0 states/eV per cell
E above lowest polymorph ... 152 meV per atom

a b c (Å): 3.5492 3.5492 6.6177
angles (deg): 90.00 90.00 90.00
Fractional coordinates of all 4 atoms:
Li  0.0000  0.0000  0.0000
Ac  0.0000  0.0000  0.5000
Cu  0.5000  0.5000  0.1863
Cu  0.5000  0.5000  0.8137

***

Below is crystalline LiAcCu2 at its relaxed geometry, with properties calculated at the PBE-GGA level.

Calculated values
ΔH_f (0 K) ... -0.1097 eV/atom
Magnetization ... 0.00 μB/f.u.
D(E_F) ... 8.0 states/eV per cell
E above lowest polymorph ... 0 meV per atom

a b c (Å): 4.3805 4.3805 15.4845
angles (deg): 90.00 90.00 120.00
Fractional coordinates of all 12 atoms:
Li  0.0000  0.0000  0.0000
Li  0.3333  0.6667  0.6667
Li  0.6667  0.3333  0.3333
Ac  0.0000  0.0000  0.5000
Ac  0.3333  0.6667  0.1667
Ac  0.6667  0.3333  0.8333
Cu  0.0000  0.0000  0.3017
Cu  0.0000  0.0000  0.6983
Cu  0.3333  0.6667  0.3650
Cu  0.3333  0.6667  0.9684
Cu  0.6667  0.3333  0.0316
Cu  0.6667  0.3333  0.6350

***

Below is crystalline Li5AcCu2 at its relaxed geometry, with properties calculated at the PBE-GGA level.

Calculated values
ΔH_f (0 K) ... -0.0136 eV/atom
Magnetization ... 0.00 μB/f.u.
D(E_F) ... 7.5 states/eV per cell

a b c (Å): 4.0279 8.1582 9.9266
angles (deg): 90.00 90.00 90.00
Fractional coordinates of all 16 atoms:
Li  0.0000  0.0000  0.0000
Li  0.0000  0.3179  0.3373
Li  0.0000  0.3179  0.6627
Li  0.0000  0.6821  0.3373
Li  0.0000  0.6821  0.6627
Li  0.5000  0.1821  0.1627
Li  0.5000  0.1821  0.8373
Li  0.5000  0.5000  0.5000
Li  0.5000  0.8179  0.1627
Li  0.5000  0.8179  0.8373
Ac  0.0000  0.5000  0.0000
Ac  0.5000  0.0000  0.5000
Cu  0.0000  0.0000  0.2621
Cu  0.0000  0.0000  0.7379
Cu  0.5000  0.5000  0.2379
Cu  0.5000  0.5000  0.7621

***

Below is crystalline Li2Ac2Cu15 at its relaxed geometry, with properties calculated at the PBE-GGA level.

Calculated values
ΔH_f (0 K) ... -0.1020 eV/atom
Magnetization ... 0.00 μB/f.u.
D(E_F) ... 9.0 states/eV per cell

a b c (Å): 6.6440 6.6440 6.6440
angles (deg): 83.15 83.15 83.15
Fractional coordinates of all 19 atoms:
Li  0.0912  0.0912  0.0912
Li  0.9088  0.9088  0.9088
Ac  0.3435  0.3435  0.3435
Ac  0.6565  0.6565  0.6565
Cu  0.0000  0.0000  0.5000
Cu  0.0000  0.2899  0.7101
Cu  0.0000  0.5000  0.0000
Cu  0.0000  0.7101  0.2899
Cu  0.1557  0.6609  0.6609
Cu  0.2899  0.0000  0.7101
Cu  0.2899  0.7101  0.0000
Cu  0.3391  0.3391  0.8443
Cu  0.3391  0.8443  0.3391
Cu  0.5000  0.0000  0.0000
Cu  0.6609  0.1557  0.6609
Cu  0.6609  0.6609  0.1557
Cu  0.7101  0.0000  0.2899
Cu  0.7101  0.2899  0.0000
Cu  0.8443  0.3391  0.3391

***

Below is crystalline LiAcCu at its relaxed geometry, with properties calculated at the PBE-GGA level.

Calculated values
ΔH_f (0 K) ... 0.0070 eV/atom
Magnetization ... 0.00 μB/f.u.
D(E_F) ... 8.3 states/eV per cell
E above lowest polymorph ... 78 meV per atom

a b c (Å): 4.0244 19.0970 4.0616
angles (deg): 90.00 90.00 90.00
Fractional coordinates of all 12 atoms:
Li  0.0000  0.2499  0.2500
Li  0.0000  0.7501  0.7500
Li  0.5000  0.2501  0.7500
Li  0.5000  0.7499  0.2500
Ac  0.0000  0.0911  0.7500
Ac  0.0000  0.9089  0.2500
Ac  0.5000  0.4089  0.2500
Ac  0.5000  0.5911  0.7500
Cu  0.0000  0.3451  0.7500
Cu  0.0000  0.6549  0.2500
Cu  0.5000  0.1549  0.2500
Cu  0.5000  0.8451  0.7500